Pa3ReN6O2 (GGA-PBE, relaxed); crystal system = monoclinic; uncorrected formation energy = -1.32 eV per atom
1.0
5.520 -3.384 0.000
5.520 3.384 0.000
-0.168 0.000 4.736
Pa Re N O
3 1 6 2
Direct
0.000 0.000 0.000
0.000 0.500 0.500
0.500 0.000 0.500
0.500 0.500 0.500
0.203 0.653 0.732
0.339 0.339 0.300
0.347 0.797 0.268
0.653 0.203 0.732
0.661 0.661 0.700
0.797 0.347 0.268
0.161 0.161 0.741
0.839 0.839 0.259



Pa3RuN6O2 (GGA-PBE, relaxed); crystal system = monoclinic; uncorrected formation energy = -1.10 eV per atom
1.0
5.467 -3.409 0.000
5.467 3.409 0.000
-0.203 0.000 4.675
Pa Ru N O
3 1 6 2
Direct
0.000 0.000 0.000
0.000 0.500 0.500
0.500 0.000 0.500
0.500 0.500 0.500
0.201 0.656 0.740
0.336 0.336 0.296
0.344 0.799 0.260
0.656 0.201 0.740
0.664 0.664 0.704
0.799 0.344 0.260
0.162 0.162 0.738
0.838 0.838 0.262



Pa3RuN2O6 (GGA-PBE, relaxed); crystal system = monoclinic; uncorrected formation energy = -2.32 eV per atom
1.0
5.324 -3.441 0.000
5.324 3.441 0.000
-0.153 0.000 4.825
Pa Ru N O
3 1 2 6
Direct
0.000 0.000 0.000
0.000 0.500 0.500
0.500 0.000 0.500
0.500 0.500 0.500
0.165 0.165 0.264
0.835 0.835 0.736
0.190 0.665 0.261
0.331 0.331 0.719
0.335 0.810 0.739
0.665 0.190 0.261
0.669 0.669 0.281
0.810 0.335 0.739



Pa2Sb2NO (GGA-PBE, relaxed); crystal system = orthorhombic; uncorrected formation energy = -1.67 eV per atom
1.0
-2.798 7.585 2.793
2.798 -7.585 2.793
2.798 7.585 -2.793
Pa Sb N O
4 4 2 2
Direct
0.081 0.241 0.322
0.419 0.741 0.160
0.581 0.259 0.840
0.919 0.759 0.678
0.192 0.748 0.941
0.308 0.248 0.556
0.692 0.752 0.444
0.808 0.252 0.059
0.250 0.250 0.000
0.750 0.750 0.000
0.250 0.750 0.500
0.750 0.250 0.500



Pa3SbN2O6 (GGA-PBE, relaxed); crystal system = monoclinic; uncorrected formation energy = -2.41 eV per atom
1.0
5.802 -3.532 0.000
5.802 3.532 0.000
-0.158 0.000 4.586
Pa Sb N O
3 1 2 6
Direct
0.000 0.000 0.000
0.000 0.500 0.500
0.500 0.000 0.500
0.500 0.500 0.500
0.163 0.163 0.272
0.837 0.837 0.728
0.155 0.669 0.249
0.329 0.329 0.707
0.331 0.845 0.751
0.669 0.155 0.249
0.671 0.671 0.293
0.845 0.331 0.751



PaSnN2O (GGA-PBE, relaxed); crystal system = monoclinic; uncorrected formation energy = -1.09 eV per atom
1.0
6.314 0.000 0.000
0.000 3.498 0.000
-2.344 0.000 8.017
Pa Sn N O
2 2 4 2
Direct
0.120 0.250 0.199
0.880 0.750 0.801
0.364 0.250 0.622
0.636 0.750 0.378
0.067 0.250 0.711
0.156 0.750 0.392
0.844 0.250 0.608
0.933 0.750 0.289
0.170 0.750 0.046
0.830 0.250 0.954



Pa3SnN2O6 (GGA-PBE, relaxed); crystal system = monoclinic; uncorrected formation energy = -2.40 eV per atom
1.0
5.757 -3.513 0.000
5.757 3.513 0.000
-0.159 0.000 4.598
Pa Sn N O
3 1 2 6
Direct
0.000 0.000 0.000
0.000 0.500 0.500
0.500 0.000 0.500
0.500 0.500 0.500
0.166 0.166 0.271
0.834 0.834 0.729
0.159 0.671 0.250
0.329 0.841 0.750
0.332 0.332 0.710
0.668 0.668 0.290
0.671 0.159 0.250
0.841 0.329 0.750



Sr2PaN2O2 (GGA-PBE, relaxed); crystal system = tetragonal; uncorrected formation energy = -2.01 eV per atom
1.0
-2.170 2.170 6.548
2.170 -2.170 6.548
2.170 2.170 -6.548
Sr Pa N O
2 1 2 2
Direct
0.147 0.147 0.000
0.853 0.853 0.000
0.500 0.500 0.000
0.000 0.500 0.500
0.500 0.000 0.500
0.330 0.330 0.000
0.670 0.670 0.000



Pa3TaN6O2 (GGA-PBE, relaxed); crystal system = monoclinic; uncorrected formation energy = -1.47 eV per atom
1.0
5.690 -3.442 0.000
5.690 3.442 0.000
-0.102 0.000 4.718
Pa Ta N O
3 1 6 2
Direct
0.000 0.000 0.000
0.000 0.500 0.500
0.500 0.000 0.500
0.500 0.500 0.500
0.185 0.676 0.277
0.324 0.815 0.723
0.336 0.336 0.686
0.664 0.664 0.314
0.676 0.185 0.277
0.815 0.324 0.723
0.170 0.170 0.240
0.830 0.830 0.760



Pa3TcN6O2 (GGA-PBE, relaxed); crystal system = monoclinic; uncorrected formation energy = -1.24 eV per atom
1.0
5.502 -3.390 0.000
5.502 3.390 0.000
-0.187 0.000 4.725
Pa Tc N O
3 1 6 2
Direct
0.000 0.000 0.000
0.000 0.500 0.500
0.500 0.000 0.500
0.500 0.500 0.500
0.202 0.654 0.735
0.337 0.337 0.300
0.346 0.798 0.265
0.654 0.202 0.735
0.663 0.663 0.700
0.798 0.346 0.265
0.160 0.160 0.739
0.840 0.840 0.261



Pa3TcN2O6 (GGA-PBE, relaxed); crystal system = monoclinic; uncorrected formation energy = -2.39 eV per atom
1.0
5.414 -3.464 0.000
5.414 3.464 0.000
-0.143 0.000 4.739
Pa Tc N O
3 1 2 6
Direct
0.000 0.000 0.000
0.000 0.500 0.500
0.500 0.000 0.500
0.500 0.500 0.500
0.164 0.164 0.264
0.836 0.836 0.736
0.187 0.661 0.258
0.333 0.333 0.712
0.339 0.813 0.742
0.661 0.187 0.258
0.667 0.667 0.288
0.813 0.339 0.742



PaTiN2O (GGA-PBE, relaxed); crystal system = tetragonal; uncorrected formation energy = -1.94 eV per atom
1.0
3.370 0.000 0.000
0.000 3.370 0.000
0.000 0.000 10.284
Pa Ti N O
2 2 4 2
Direct
0.250 0.250 0.152
0.750 0.750 0.848
0.250 0.250 0.597
0.750 0.750 0.403
0.250 0.250 0.398
0.250 0.250 0.786
0.750 0.750 0.214
0.750 0.750 0.602
0.250 0.750 0.000
0.750 0.250 0.000



Number 1 is which compound? Pa3ReN6O2



What did the second record say?
Pa3RuN6O2 (GGA-PBE, relaxed); crystal system = monoclinic; uncorrected formation energy = -1.10 eV per atom
1.0
5.467 -3.409 0.000
5.467 3.409 0.000
-0.203 0.000 4.675
Pa Ru N O
3 1 6 2
Direct
0.000 0.000 0.000
0.000 0.500 0.500
0.500 0.000 0.500
0.500 0.500 0.500
0.201 0.656 0.740
0.336 0.336 0.296
0.344 0.799 0.260
0.656 0.201 0.740
0.664 0.664 0.704
0.799 0.344 0.260
0.162 0.162 0.738
0.838 0.838 0.262



Look up the uncorrected formation energy of the third one. -2.32 eV per atom



Which value of uncorrected formation energy does entry 3 give? -2.32 eV per atom